A geometry-optimized La8Sm6Mg structure. Source: the Alexandria database, functional PBE.

Cell: 9.5019 9.5019 6.7195 Å, 90.00 90.00 120.00°
Last column: nearest neighbours and their distance in Å.
Space group P-3 (No. 147)
Inequivalent atoms, fractional coordinates:
La (0.0437, 0.2791, 0.1726) (multiplicity 6)  1 Mg 3.31, 3 La 3.33-3.39, 4 Sm 3.40-3.69
La (0.3333, 0.6667, 0.1254) (multiplicity 2)  3 La 3.33
Sm (0.0957, 0.4414, 0.6576) (multiplicity 6)  1 Sm 3.33, 5 La 3.40-3.72
Mg (0.0000, 0.0000, 0.5000) (multiplicity 1)  6 La 3.31

Computed properties:
The calculation puts the density of states at the Fermi level at 1.461 states/eV per atom. For the formation energy, the calculation gives 0.113 eV/atom.


A geometry-optimized ReW2Cl structure. Source: the Alexandria database, functional PBE.

Cell: 2.9361 4.6264 4.6328 Å, 90.00 90.00 90.00°
Last column: nearest neighbours and their distance in Å.
Space group Pmmm (No. 47)
Inequivalent atoms, fractional coordinates:
Re (0.0000, 0.0000, 0.0000) (multiplicity 1)  4 Cl 2.74, 4 W 2.74, 2 Re 2.94
W (0.0000, 0.5000, 0.5000) (multiplicity 1)  6 W 2.74-2.94, 4 Cl 2.74
W (0.5000, 0.0000, 0.5000) (multiplicity 1)  6 W 2.74-2.94, 4 Re 2.74
Cl (0.5000, 0.5000, 0.0000) (multiplicity 1)  4 Re 2.74, 4 W 2.74, 2 Cl 2.94

Computed properties:
The calculation puts the density of states at the Fermi level at 0.619 states/eV per atom. The energy above the most stable polymorph in this dataset is 637 meV/atom. The value obtained for the uncorrected formation energy is 1.040 eV per atom.


A geometry-optimized AcY3Pt structure. Source: the Alexandria database, functional PBE.

Cell: 5.5578 5.5578 5.5578 Å, 90.00 90.00 90.00°
Last column: nearest neighbours and their distance in Å.
Space group Pm-3m (No. 221)
Inequivalent atoms, fractional coordinates:
Ac (0.0000, 0.0000, 0.0000) (multiplicity 1)  12 Y 3.93
Y (0.0000, 0.5000, 0.5000) (multiplicity 3)  2 Pt 2.78
Pt (0.5000, 0.5000, 0.5000) (multiplicity 1)  6 Y 2.78

Computed properties:
The calculation puts the density of states at the Fermi level at 1.490 states/eV per atom. For the formation energy, the calculation gives -0.435 eV/atom.


A geometry-optimized Pr4NdPt2 structure. Source: the Alexandria database, functional PBE.

Cell: 8.0699 6.7150 8.4041 Å, 90.00 113.88 90.00°
Last column: nearest neighbours and their distance in Å.
Space group P2_1/m (No. 11)
Inequivalent atoms, fractional coordinates:
Pr (0.0105, 0.2500, 0.3819) (multiplicity 2)  2 Pt 2.84-2.97
Pr (0.2551, 0.7500, 0.3524) (multiplicity 2)  2 Pt 2.90-2.96
Pr (0.4115, 0.0103, 0.7703) (multiplicity 4)  4 Pt 3.17-3.39, 3 Pr 3.22-3.53
Nd (0.1489, 0.2500, 0.0268) (multiplicity 2)  2 Pt 2.92-3.04
Pt (0.2357, 0.7500, 0.9933) (multiplicity 2)  6 Pr 2.96-3.28, 1 Nd 3.04
Pt (0.3697, 0.2500, 0.4009) (multiplicity 2)  2 Pr 2.84-2.90, 1 Nd 2.92

Computed properties:
The calculation puts the density of states at the Fermi level at 1.240 states/eV per atom. For the formation energy, the calculation gives -0.571 eV/atom.


A geometry-optimized InC3 structure. Source: the Alexandria database, functional PBE.

Cell: 3.5328 3.5328 3.5328 Å, 90.00 90.00 90.00°
Last column: nearest neighbours and their distance in Å.
Space group Pm-3m (No. 221)
Inequivalent atoms, fractional coordinates:
In (0.0000, 0.0000, 0.0000) (multiplicity 1)  12 C 2.50
C (0.0000, 0.5000, 0.5000) (multiplicity 3)  4 In 2.50, 8 C 2.50

Computed properties:
The calculation puts the density of states at the Fermi level at 0.412 states/eV per atom. The energy above the most stable polymorph in this dataset is 2481 meV/atom. For the formation energy, the calculation gives 3.382 eV/atom.


A geometry-optimized Ba2PuHgS5 structure. Source: the Alexandria database, functional PBE.

Cell: 4.1881 18.2698 12.9079 Å, 90.00 90.00 90.00°
Last column: nearest neighbours and their distance in Å.
Space group Cmc2_1 (No. 36)
Inequivalent atoms, fractional coordinates:
Ba (0.0000, 0.1130, 0.0000) (multiplicity 4)  5 S 3.17-3.23
Ba (0.0000, 0.1282, 0.6251) (multiplicity 4)  8 S 3.15-3.48
Pu (0.0000, 0.2069, 0.3262) (multiplicity 4)  6 S 2.64-2.75
Hg (0.0000, 0.4578, 0.7622) (multiplicity 4)  3 S 2.46-2.56
S (0.0000, 0.0607, 0.3730) (multiplicity 4)  2 Hg 2.56, 1 Pu 2.74
S (0.0000, 0.2879, 0.9609) (multiplicity 4)  2 Pu 2.72
S (0.0000, 0.3033, 0.6887) (multiplicity 4)  2 Pu 2.75, 1 Hg 2.98
S (0.0000, 0.3513, 0.3163) (multiplicity 4)  1 Pu 2.64
S (0.0000, 0.4968, 0.0830) (multiplicity 4)  1 Hg 2.46

Computed properties:
The calculation puts the density of states at the Fermi level at 1.141 states/eV per atom. The value obtained for the uncorrected formation energy is -1.455 eV per atom.


For each record above, in turn, the calculated uncorrected energy values are -67.63, -36.04, -31.72, -79.93, -16.88, -208.86 eV per cell.